Entry 1:
## Na2MgBeH6 (PBE)

Data for an optimized crystal structure of Na2MgBeH6.

Geometry as extended XYZ:
```
10
Lattice="4.9307 0.0000 0.0000 0.0000 4.9307 0.0000 0.0000 0.0000 3.9473" Properties=species:S:1:pos:R:3 pbc="T T T"
Na 0.0000 2.4653 0.0000
Na 2.4653 0.0000 0.0000
Mg 0.0000 0.0000 2.0283
Be 2.4653 2.4653 1.7798
H 0.0000 0.0000 0.0753
H 1.3504 1.3504 2.0966
H 1.3504 3.5803 2.0966
H 2.4653 2.4653 0.3357
H 3.5803 1.3504 2.0966
H 3.5803 3.5803 2.0966
```

## Properties
final energy = -2.94 eV per atom
volume = 95.96 Å³ per cell
crystal system = tetragonal
SG = P4mm, No. 99
magnetic moment = 0.000 μB per atom

Entry 2:
## MgBeNbH2 (PBE)

Data for an optimized crystal structure of MgBeNbH2.

Geometry as extended XYZ:
```
5
Lattice="3.7956 0.0000 0.0000 0.0000 3.7956 0.0000 0.0000 0.0000 4.6572" Properties=species:S:1:pos:R:3 pbc="T T T"
Mg 0.0000 0.0000 0.0000
Be 1.8978 1.8978 2.3286
Nb 1.8978 1.8978 0.0000
H 0.0000 1.8978 2.3286
H 1.8978 0.0000 2.3286
```

## Properties
final energy = -3.29 eV per atom
volume = 67.09 Å³ per cell
crystal system = tetragonal
SG = P4/mmm, No. 123
magnetic moment = 0.272 μB per atom

Entry 3:
## NdMgBe2H8 (PBE)

Data for an optimized crystal structure of NdMgBe2H8.

Geometry as extended XYZ:
```
12
Lattice="4.2854 0.0000 0.0000 -2.1427 3.7112 0.0000 0.0000 0.0000 6.8409" Properties=species:S:1:pos:R:3 pbc="T T T"
Nd 0.0000 0.0000 0.0000
Mg 0.0000 0.0000 3.4205
Be 0.0000 2.4742 5.0866
Be 2.1427 1.2371 1.7543
H -0.6141 1.2354 4.7652
H -0.7657 3.6253 4.7652
H 0.7629 1.1495 2.0757
H 0.0000 2.4742 6.5555
H 2.1427 1.2371 0.2855
H 1.3798 2.5617 4.7652
H 2.9084 0.0859 2.0757
H 2.7567 2.4758 2.0757
```

## Properties
final energy = -3.60 eV per atom
volume = 108.80 Å³ per cell
crystal system = trigonal
SG = P-3, No. 147
magnetic moment = 0.000 μB per atom

Entry 4:
## Mg2BeHO (PBE)

Data for an optimized crystal structure of Mg2BeHO.

Geometry as extended XYZ:
```
5
Lattice="5.5670 0.0000 0.0000 0.0000 5.5670 0.0000 0.0000 0.0000 2.9181" Properties=species:S:1:pos:R:3 pbc="T T T"
Mg 0.0000 2.7835 0.0000
Mg 2.7835 0.0000 0.0000
Be 0.0000 0.0000 0.0000
H 2.7835 2.7835 1.4591
O 0.0000 0.0000 1.4591
```

## Properties
final energy = -3.17 eV per atom
volume = 90.44 Å³ per cell
crystal system = tetragonal
SG = P4/mmm, No. 123
magnetic moment = 0.000 μB per atom

magnetic moment of number 1 (Na2MgBeH6)?
0.000 μB per atom

Number 4 is which compound?
Mg2BeHO